(1)
A relaxed Pm7Sn2Rh2 crystal, computed with GGA-PBE.

It has space group Cmmm (No. 65), with a = 8.288 Å, b = 11.267 Å, c = 7.220 Å, α = 90.00°, β = 90.00° and γ = 90.00°. Symmetry generates all atoms from Pm at (0.000, 0.000, 0.000), Pm at (0.000, 0.500, 0.239), Pm at (0.250, 0.250, 0.252), Sn at (0.178, 0.000, 0.500) and Rh at (0.000, 0.286, 0.000).

The calculation puts the raw total energy at -5.553 eV/atom. As for the energy of formation from the pure elements: -465 meV/atom.

(2)
A relaxed PmSnRh crystal, computed with GGA-PBE.

It has space group P-6m2 (No. 187), with a = 4.6286 Å, b = 4.6286 Å, c = 3.7774 Å, α = 90.00°, β = 90.00° and γ = 120.00°. Symmetry generates all atoms from Pm at (0.0000, 0.0000, 0.0000), Sn at (0.3333, 0.6667, 0.5000) and Rh at (0.6667, 0.3333, 0.5000).

The calculation puts the raw total energy at -6.091 eV/atom. As for the energy of formation from the pure elements: -723 meV/atom. The polymorph energy (0 for the lowest one) is 0.42 eV/f.u.

(3)
A relaxed Pm3SnRh8 crystal, computed with GGA-PBE.

It has space group R3m (No. 160, hexagonal axes), with a = 5.3579 Å, b = 5.3579 Å, c = 26.4294 Å, α = 90.00°, β = 90.00° and γ = 120.00°. Symmetry generates all atoms from Pm at (0.0000, 0.0000, 0.0000), Pm at (0.0000, 0.0000, 0.1277), Pm at (0.0000, 0.0000, 0.5080), Sn at (0.0000, 0.0000, 0.6307), Rh at (0.0000, 0.0000, 0.3153), Rh at (0.0000, 0.0000, 0.8159), Rh at (0.9995, 0.4998, 0.5664) and Rh at (0.1676, 0.3353, 0.3986).

The calculation puts the raw total energy at -6.994 eV/atom. As for the energy of formation from the pure elements: -572 meV/atom.

(4)
A relaxed Pm3SnRh crystal, computed with GGA-PBE.

It has space group C2/c (No. 15), with a = 18.608 Å, b = 9.216 Å, c = 6.701 Å, α = 90.00°, β = 103.92° and γ = 90.00°. Symmetry generates all atoms from Pm at (0.035, 0.246, 0.030), Pm at (0.138, 0.402, 0.661), Pm at (0.163, 0.035, 0.454), Sn at (0.214, 0.296, 0.184), Rh at (0.000, 0.004, 0.750) and Rh at (0.000, 0.500, 0.250).

The calculation puts the raw total energy at -5.703 eV/atom. As for the energy of formation from the pure elements: -582 meV/atom. The polymorph energy (0 for the lowest one) is 0.00 eV/f.u.

(5)
A relaxed PmSn2Rh crystal, computed with GGA-PBE.

It has space group P4/mmm (No. 123), with a = 4.440 Å, b = 4.440 Å, c = 4.579 Å, α = 90.00°, β = 90.00° and γ = 90.00°. Symmetry generates all atoms from Pm at (0.000, 0.000, 0.000), Sn at (0.000, 0.500, 0.500) and Rh at (0.500, 0.500, 0.000).

The calculation puts the raw total energy at -5.518 eV/atom. As for the energy of formation from the pure elements: -491 meV/atom. The polymorph energy (0 for the lowest one) is 0.81 eV/f.u.

(6)
A relaxed Pm3Sn4Rh4 crystal, computed with GGA-PBE.

It has space group Immm (No. 71), with a = 3.991 Å, b = 4.698 Å, c = 26.909 Å, α = 90.00°, β = 90.00° and γ = 90.00°. Symmetry generates all atoms from Pm at (0.000, 0.000, 0.000), Pm at (0.000, 0.500, 0.137), Sn at (0.000, 0.000, 0.258), Sn at (0.000, 0.500, 0.405), Rh at (0.000, 0.000, 0.451) and Rh at (0.000, 0.500, 0.307).

The calculation puts the raw total energy at -6.068 eV/atom. As for the energy of formation from the pure elements: -644 meV/atom. The polymorph energy (0 for the lowest one) is 0.70 eV/f.u.

(7)
A relaxed Pm3Sn12Rh5 crystal, computed with GGA-PBE.

It has space group Ia-3d (No. 230), with a = 16.600 Å, b = 16.600 Å, c = 16.600 Å, α = 90.00°, β = 90.00° and γ = 90.00°. Symmetry generates all atoms from Pm at (0.000, 0.250, 0.125), Sn at (0.045, 0.065, 0.637), Rh at (0.000, 0.000, 0.000) and Rh at (0.000, 0.250, 0.375).

The calculation puts the raw total energy at -5.040 eV/atom. As for the energy of formation from the pure elements: -88 meV/atom.

(8)
A relaxed Pm12Sn6Rh crystal, computed with GGA-PBE.

It has space group R-3 (No. 148, hexagonal axes), with a = 13.4786 Å, b = 13.4786 Å, c = 12.5611 Å, α = 90.00°, β = 90.00° and γ = 120.00°. Symmetry generates all atoms from Pm at (0.0333, 0.2014, 0.3942), Pm at (0.0614, 0.1979, 0.8817), Sn at (0.0487, 0.2819, 0.6436) and Rh at (0.0000, 0.0000, 0.0000).

The calculation puts the raw total energy at -5.093 eV/atom. As for the energy of formation from the pure elements: -442 meV/atom.